Record 1
Compound: Re2PbO
Source: Alexandria
Functional: PBE
Structure: optimized geometry

**Formation energy without anion corrections**: 1.45 eV per atom
**Polymorph energy (0 for the lowest one)**: 812 meV/atom
**Total magnetic moment**: 0.00 μB per atom

Cell lengths 4.457, 4.457, 4.457 Å; angles 60.00, 60.00, 60.00 degrees
Element x y z (fractional)
Pb (0.500, 0.500, 0.500)
O (0.000, 0.000, 0.000)
Re (0.250, 0.250, 0.250)
Re (0.750, 0.750, 0.750)

***

Record 2
Compound: Re2Pb2O7
Source: Alexandria
Functional: PBE
Structure: optimized geometry

**Formation energy without anion corrections**: -1.30 eV per atom
**Polymorph energy (0 for the lowest one)**: 0 meV/atom
**Total magnetic moment**: 0.31 μB per atom

Cell lengths 7.528, 7.528, 7.528 Å; angles 60.00, 60.00, 60.00 degrees
Site moments in Bohr magnetons follow the coordinates.
Element x y z (fractional)
Re (0.125, 0.125, 0.125)  1.31
O (0.438, 0.062, 0.438)  0.06
O (0.062, 0.438, 0.438)  0.06
O (0.500, 0.500, 0.500)  0.01
O (0.062, 0.438, 0.062)  0.06
O (0.812, 0.188, 0.812)  0.06
O (0.812, 0.812, 0.188)  0.06
Pb (0.625, 0.625, 0.625)  0.02
O (0.750, 0.750, 0.750)  0.01
O (0.438, 0.438, 0.062)  0.06
Pb (0.625, 0.625, 0.125)  0.02
O (0.438, 0.062, 0.062)  0.06
O (0.188, 0.812, 0.188)  0.06
Pb (0.125, 0.625, 0.625)  0.02
Pb (0.625, 0.125, 0.625)  0.02
Re (0.125, 0.125, 0.625)  1.31
O (0.188, 0.188, 0.812)  0.06
Re (0.125, 0.625, 0.125)  1.31
Re (0.625, 0.125, 0.125)  1.31
O (0.062, 0.062, 0.438)  0.06
O (0.812, 0.188, 0.188)  0.06
O (0.188, 0.812, 0.812)  0.06

***

Record 3
Compound: RePb3O
Source: Alexandria
Functional: PBE
Structure: optimized geometry

**Formation energy without anion corrections**: 0.69 eV per atom
**Polymorph energy (0 for the lowest one)**: 74 meV/atom
**Total magnetic moment**: 0.00 μB per atom

Cell lengths 5.266, 5.266, 5.266 Å; angles 90.00, 90.00, 90.00 degrees
Element x y z (fractional)
Re (0.000, 0.000, 0.000)
Pb (0.000, 0.500, 0.000)
Pb (0.000, 0.000, 0.500)
O (0.500, 0.500, 0.500)
Pb (0.500, 0.000, 0.000)

***

Record 4
Compound: RePb3O
Source: Alexandria
Functional: PBE
Structure: optimized geometry

**Formation energy without anion corrections**: 0.61 eV per atom
**Polymorph energy (0 for the lowest one)**: 0 meV/atom
**Total magnetic moment**: 0.44 μB per atom

Cell lengths 4.874, 4.874, 4.874 Å; angles 90.00, 90.00, 90.00 degrees
Site moments in Bohr magnetons follow the coordinates.
Element x y z (fractional)
Pb (0.500, 0.000, 0.000)  -0.02
O (0.000, 0.000, 0.000)  -0.01
Pb (0.000, 0.000, 0.500)  -0.04
Re (0.500, 0.500, 0.500)  2.14
Pb (0.000, 0.500, 0.000)  -0.05

***

Record 5
Compound: Re3Pb2O10
Source: Alexandria
Functional: PBE
Structure: optimized geometry

**Formation energy without anion corrections**: -1.40 eV per atom
**Total magnetic moment**: 0.00 μB per atom

Cell lengths 5.735, 7.787, 9.779 Å; angles 111.85, 107.05, 90.00 degrees
Element x y z (fractional)
O (0.500, 0.000, 0.500)
O (0.000, 0.000, 0.500)
O (0.358, 0.019, 0.216)
O (0.642, 0.981, 0.784)
O (0.389, 0.464, 0.280)
Pb (0.402, 0.283, 0.803)
O (0.142, 0.981, 0.784)
O (0.973, 0.812, 0.947)
Re (0.718, 0.000, 0.000)
O (0.611, 0.536, 0.720)
O (0.027, 0.188, 0.053)
O (0.772, 0.729, 0.544)
O (0.786, 0.500, 0.000)
Re (0.816, 0.982, 0.632)
Re (0.082, 0.473, 0.165)
O (0.109, 0.536, 0.720)
Re (0.184, 0.018, 0.368)
O (0.228, 0.271, 0.456)
O (0.524, 0.213, 0.049)
Pb (0.699, 0.315, 0.397)
Pb (0.301, 0.685, 0.603)
O (0.131, 0.740, 0.263)
O (0.891, 0.464, 0.280)
O (0.858, 0.019, 0.216)
Re (0.282, 0.000, 0.000)
Re (0.918, 0.527, 0.835)
O (0.476, 0.787, 0.951)
Pb (0.598, 0.717, 0.197)
O (0.869, 0.260, 0.737)
O (0.214, 0.500, 0.000)

***

Record 6
Compound: Re6Pb5O19
Source: Alexandria
Functional: PBE
Structure: optimized geometry

**Formation energy without anion corrections**: -1.39 eV per atom
**Total magnetic moment**: 0.00 μB per atom

Cell lengths 9.396, 9.400, 9.404 Å; angles 90.00, 90.94, 90.00 degrees
Element x y z (fractional)
Re (0.250, 0.882, 0.250)
O (0.606, 0.750, 0.458)
O (0.244, 0.039, 0.109)
Re (0.383, 0.251, 0.757)
Pb (0.896, 0.380, 0.401)
O (0.394, 0.250, 0.542)
O (0.753, 0.541, 0.895)
O (0.392, 0.251, 0.964)
O (0.245, 0.747, 0.081)
Re (0.250, 0.615, 0.250)
Pb (0.396, 0.620, 0.901)
Pb (0.500, 0.500, 0.500)
O (0.250, 0.081, 0.750)
Pb (0.000, 0.500, 0.000)
Re (0.117, 0.251, 0.743)
O (0.745, 0.253, 0.581)
O (0.459, 0.888, 0.250)
Pb (0.895, 0.093, 0.112)
O (0.108, 0.251, 0.536)
Pb (0.395, 0.907, 0.612)
O (0.080, 0.248, 0.247)
Re (0.883, 0.749, 0.257)
Pb (0.604, 0.380, 0.099)
O (0.961, 0.397, 0.747)
O (0.750, 0.581, 0.250)
O (0.750, 0.242, 0.250)
O (0.253, 0.459, 0.395)
O (0.250, 0.758, 0.750)
Re (0.250, 0.245, 0.383)
O (0.541, 0.112, 0.750)
O (0.256, 0.039, 0.391)
O (0.756, 0.961, 0.891)
O (0.580, 0.752, 0.747)
O (0.539, 0.397, 0.753)
O (0.894, 0.750, 0.042)
O (0.106, 0.250, 0.958)
O (0.747, 0.541, 0.605)
O (0.247, 0.459, 0.105)
O (0.608, 0.749, 0.036)
Re (0.250, 0.245, 0.117)
O (0.750, 0.919, 0.250)
O (0.755, 0.253, 0.919)
O (0.959, 0.112, 0.750)
O (0.255, 0.747, 0.419)
O (0.461, 0.603, 0.247)
O (0.420, 0.248, 0.253)
O (0.039, 0.603, 0.253)
Pb (0.605, 0.093, 0.388)
O (0.920, 0.752, 0.753)
O (0.250, 0.419, 0.750)
Re (0.750, 0.385, 0.750)
Re (0.750, 0.755, 0.883)
Re (0.750, 0.755, 0.617)
Pb (0.105, 0.907, 0.888)
O (0.041, 0.888, 0.250)
Re (0.617, 0.749, 0.243)
Re (0.750, 0.118, 0.750)
Pb (0.104, 0.620, 0.599)
O (0.744, 0.961, 0.609)
O (0.892, 0.749, 0.464)

***

Record 7
Compound: Re6Pb4O19
Source: Alexandria
Functional: PBE
Structure: optimized geometry

**Formation energy without anion corrections**: -1.46 eV per atom
**Total magnetic moment**: 0.00 μB per atom

Cell lengths 8.119, 8.119, 8.119 Å; angles 109.47, 109.47, 109.47 degrees
Element x y z (fractional)
O (0.068, 0.364, 0.709)
O (0.000, 0.000, 0.000)
O (0.709, 0.068, 0.364)
Pb (0.000, 0.708, 0.000)
O (0.932, 0.641, 0.297)
Re (0.361, 0.500, 0.861)
O (0.333, 0.333, 0.000)
Pb (0.292, 0.292, 0.292)
O (0.667, 0.000, 0.667)
O (0.359, 0.291, 0.655)
Re (0.139, 0.639, 0.500)
O (0.364, 0.709, 0.068)
O (0.703, 0.345, 0.636)
O (0.000, 0.333, 0.333)
O (0.636, 0.703, 0.345)
Pb (0.000, 0.000, 0.708)
O (0.291, 0.655, 0.359)
Re (0.861, 0.361, 0.500)
Pb (0.708, 0.000, 0.000)
Re (0.500, 0.861, 0.361)
O (0.297, 0.932, 0.641)
O (0.345, 0.636, 0.703)
O (0.655, 0.359, 0.291)
O (0.000, 0.667, 0.667)
O (0.641, 0.297, 0.932)
O (0.333, 0.000, 0.333)
Re (0.639, 0.500, 0.139)
Re (0.500, 0.139, 0.639)
O (0.667, 0.667, 0.000)

***

Record 8
Compound: RePb2O6
Source: Alexandria
Functional: PBE
Structure: optimized geometry

**Formation energy without anion corrections**: -1.25 eV per atom
**Total magnetic moment**: 0.00 μB per atom

Cell lengths 5.167, 5.167, 10.348 Å; angles 90.00, 90.00, 90.00 degrees
Element x y z (fractional)
O (0.262, 0.262, 0.000)
O (0.823, 0.177, 0.136)
O (0.177, 0.823, 0.864)
O (0.762, 0.238, 0.500)
O (0.323, 0.323, 0.364)
O (0.238, 0.762, 0.500)
Pb (0.500, 0.500, 0.834)
O (0.177, 0.823, 0.136)
O (0.823, 0.177, 0.864)
Re (0.500, 0.500, 0.500)
O (0.677, 0.677, 0.636)
O (0.323, 0.323, 0.636)
Pb (0.000, 0.000, 0.666)
O (0.738, 0.738, 0.000)
Pb (0.500, 0.500, 0.166)
O (0.677, 0.677, 0.364)
Re (0.000, 0.000, 0.000)
Pb (0.000, 0.000, 0.334)

***

Record 9
Compound: Re3Pb3O10
Source: Alexandria
Functional: PBE
Structure: optimized geometry

**Formation energy without anion corrections**: -1.34 eV per atom
**Total magnetic moment**: 0.07 μB per atom

Cell lengths 7.464, 7.464, 16.778 Å; angles 102.85, 102.85, 90.00 degrees
Site moments in Bohr magnetons follow the coordinates.
Element x y z (fractional)
O (0.061, 0.939, 0.500)  0.03
O (0.602, 0.602, 0.204)  -0.03
O (0.772, 0.894, 0.166)  0.01
Pb (0.959, 0.211, 0.422)  0.00
Re (0.958, 0.207, 0.916)  1.14
O (0.856, 0.856, 0.334)  0.01
O (0.478, 0.856, 0.334)  0.01
O (0.648, 0.148, 0.296)  -0.03
O (0.268, 0.268, 0.536)  0.03
O (0.394, 0.272, 0.166)  0.01
Re (0.958, 0.709, 0.916)  1.14
Pb (0.789, 0.537, 0.578)  0.00
O (0.522, 0.144, 0.666)  0.01
O (0.313, 0.813, 0.627)  0.02
O (0.063, 0.063, 0.127)  0.02
O (0.856, 0.478, 0.334)  0.01
Re (0.292, 0.041, 0.584)  1.14
Re (0.625, 0.375, 0.750)  -1.46
Pb (0.291, 0.539, 0.078)  0.00
O (0.439, 0.561, 0.500)  0.03
Re (0.625, 0.375, 0.250)  -1.46
O (0.826, 0.826, 0.651)  0.00
O (0.106, 0.606, 0.834)  0.01
O (0.187, 0.687, 0.373)  0.02
Pb (0.125, 0.875, 0.750)  0.01
Re (0.793, 0.042, 0.084)  1.14
Re (0.457, 0.708, 0.416)  1.14
Pb (0.787, 0.539, 0.078)  0.00
Pb (0.461, 0.213, 0.922)  0.00
Re (0.625, 0.875, 0.250)  -1.46
O (0.144, 0.522, 0.666)  0.01
O (0.076, 0.576, 0.151)  0.00
O (0.424, 0.924, 0.849)  0.00
O (0.189, 0.189, 0.000)  0.03
Pb (0.789, 0.041, 0.578)  0.00
O (0.478, 0.478, 0.334)  0.01
O (0.811, 0.811, 0.000)  0.03
O (0.937, 0.937, 0.873)  0.02
O (0.144, 0.144, 0.666)  0.01
O (0.061, 0.561, 0.500)  0.03
O (0.732, 0.732, 0.464)  0.03
O (0.522, 0.522, 0.666)  0.01
Pb (0.125, 0.375, 0.250)  0.01
Re (0.959, 0.708, 0.416)  1.14
O (0.394, 0.894, 0.166)  0.01
Pb (0.463, 0.211, 0.422)  0.00
O (0.728, 0.228, 0.834)  0.01
Pb (0.625, 0.875, 0.750)  0.01
O (0.189, 0.811, 0.000)  0.03
O (0.728, 0.606, 0.834)  0.01
Re (0.125, 0.375, 0.750)  -1.46
O (0.772, 0.272, 0.166)  0.01
O (0.852, 0.352, 0.704)  -0.03
O (0.982, 0.482, 0.964)  0.03
O (0.811, 0.189, 0.000)  0.03
Re (0.291, 0.042, 0.084)  1.14
Re (0.292, 0.543, 0.584)  1.14
Pb (0.461, 0.709, 0.922)  0.00
O (0.174, 0.174, 0.349)  0.00
O (0.106, 0.228, 0.834)  0.01
Pb (0.125, 0.875, 0.250)  0.01
O (0.439, 0.939, 0.500)  0.03
O (0.518, 0.018, 0.036)  0.03
O (0.398, 0.398, 0.796)  -0.03

***

Record 10
Compound: ReSb2PbO
Source: Alexandria
Functional: PBE
Structure: optimized geometry

**Formation energy without anion corrections**: 0.30 eV per atom
**Total magnetic moment**: 0.00 μB per atom

Cell lengths 5.476, 3.758, 5.476 Å; angles 90.00, 90.00, 90.00 degrees
Element x y z (fractional)
Sb (0.500, 0.000, 0.000)
Re (0.000, 0.500, 0.000)
O (0.000, 0.000, 0.000)
Sb (0.000, 0.000, 0.500)
Pb (0.500, 0.500, 0.500)

***

Record 11
Compound: ScRePbO6
Source: Alexandria
Functional: PBE
Structure: optimized geometry

**Formation energy without anion corrections**: -2.03 eV per atom
**Total magnetic moment**: 0.00 μB per atom

Cell lengths 5.372, 5.372, 5.280 Å; angles 90.00, 90.00, 60.00 degrees
Element x y z (fractional)
Sc (0.667, 0.667, 0.500)
O (0.028, 0.608, 0.706)
O (0.028, 0.364, 0.294)
O (0.364, 0.028, 0.706)
O (0.608, 0.364, 0.706)
O (0.608, 0.028, 0.294)
O (0.364, 0.608, 0.294)
Re (0.333, 0.333, 0.500)
Pb (0.000, 0.000, 0.000)

***

Record 12
Compound: ScRe2PbO8
Source: Alexandria
Functional: PBE
Structure: optimized geometry

**Formation energy without anion corrections**: -1.70 eV per atom
**Total magnetic moment**: 0.25 μB per atom

Cell lengths 5.912, 5.912, 6.920 Å; angles 90.00, 90.00, 120.00 degrees
Site moments in Bohr magnetons follow the coordinates.
Element x y z (fractional)
Pb (0.000, 0.000, 0.000)  0.11
O (0.838, 0.160, 0.309)  0.04
Re (0.667, 0.333, 0.238)  0.92
O (0.678, 0.838, 0.691)  0.04
O (0.667, 0.333, 0.981)  0.11
Sc (0.000, 0.000, 0.500)  0.18
O (0.322, 0.162, 0.309)  0.04
O (0.162, 0.840, 0.691)  0.04
O (0.333, 0.667, 0.019)  0.11
Re (0.333, 0.667, 0.762)  0.92
O (0.840, 0.678, 0.309)  0.04
O (0.160, 0.322, 0.691)  0.04

***

Record 13
Compound: RePbSeO2
Source: Alexandria
Functional: PBE
Structure: optimized geometry

**Formation energy without anion corrections**: -0.68 eV per atom
**Total magnetic moment**: 0.00 μB per atom

Cell lengths 3.995, 3.995, 5.393 Å; angles 90.00, 90.00, 90.00 degrees
Element x y z (fractional)
Re (0.000, 0.000, 0.000)
O (0.500, 0.000, 0.000)
O (0.000, 0.500, 0.000)
Pb (0.500, 0.500, 0.500)
Se (0.000, 0.000, 0.500)

***

Record 14
Compound: SmRePbO6
Source: Alexandria
Functional: PBE
Structure: optimized geometry

**Formation energy without anion corrections**: -1.98 eV per atom
**Total magnetic moment**: 0.00 μB per atom

Cell lengths 5.695, 5.695, 5.134 Å; angles 90.00, 89.99, 59.98 degrees
Element x y z (fractional)
Sm (0.667, 0.667, 0.501)
O (0.345, 0.604, 0.289)
Re (0.333, 0.333, 0.500)
Pb (0.000, 0.000, 0.000)
O (0.604, 0.343, 0.711)
O (0.052, 0.604, 0.711)
O (0.052, 0.345, 0.289)
O (0.604, 0.052, 0.289)
O (0.343, 0.052, 0.711)

***

Record 15
Compound: SmRe2PbO8
Source: Alexandria
Functional: PBE
Structure: optimized geometry

**Formation energy without anion corrections**: -1.70 eV per atom
**Total magnetic moment**: 0.25 μB per atom

Cell lengths 6.077, 6.077, 7.206 Å; angles 90.00, 90.00, 120.00 degrees
Site moments in Bohr magnetons follow the coordinates.
Element x y z (fractional)
O (0.333, 0.667, 0.034)  0.11
O (0.667, 0.333, 0.966)  0.11
Pb (0.000, 0.000, 0.000)  0.11
O (0.834, 0.668, 0.287)  0.04
O (0.166, 0.332, 0.713)  0.04
O (0.834, 0.166, 0.287)  0.04
O (0.668, 0.834, 0.713)  0.04
O (0.332, 0.166, 0.287)  0.04
O (0.166, 0.834, 0.713)  0.04
Re (0.667, 0.333, 0.213)  0.94
Sm (0.000, 0.000, 0.500)  0.09
Re (0.333, 0.667, 0.787)  0.94

***

Record 16
Compound: Sm2RePbO8
Source: Alexandria
Functional: PBE
Structure: optimized geometry

**Formation energy without anion corrections**: -2.18 eV per atom
**Total magnetic moment**: 0.00 μB per atom

Cell lengths 5.085, 5.085, 7.090 Å; angles 90.00, 90.00, 91.56 degrees
Element x y z (fractional)
O (0.731, 0.732, 0.000)
O (0.309, 0.309, 0.500)
Sm (0.500, 0.500, 0.244)
Pb (0.000, 0.000, 0.500)
O (0.180, 0.820, 0.803)
O (0.820, 0.180, 0.197)
Re (0.000, 0.000, 0.000)
O (0.691, 0.691, 0.500)
Sm (0.500, 0.500, 0.756)
O (0.180, 0.820, 0.197)
O (0.820, 0.180, 0.803)
O (0.269, 0.268, 0.000)